No. 1
MnCd3In: relaxed, GGA-PBE.

The structure in extended XYZ format:
```
5
Lattice="-1.368 4.742 -1.712 -4.800 -1.768 -1.059 -1.540 1.296 4.820" Properties=species:S:1:pos:R:3 pbc="T T T"
Mn 0.000 0.000 0.000
Cd -0.770 0.648 2.410
Cd -0.684 2.371 -0.856
Cd -2.400 -0.884 -0.529
In -3.854 2.135 1.025
```

Energy of formation from the pure elements (eV/atom): 0.49
Size of the total moment (μB/f.u.): 3.53
V (Å³/f.u.): 142.52
E above lowest polymorph (meV per atom): 0.0


No. 2
Nd4Ge2Te: relaxed, GGA-PBE.

The structure in extended XYZ format:
```
14
Lattice="-4.474 -0.853 -7.751 -7.753 -0.355 4.538 5.592 6.932 1.212" Properties=species:S:1:pos:R:3 pbc="T T T"
Nd -7.194 0.574 -3.360
Nd -4.283 4.023 -3.184
Nd -1.418 1.559 -2.319
Nd 1.264 5.042 -1.284
Nd -5.258 0.942 -0.023
Nd -2.082 4.889 0.666
Nd -0.937 4.177 -5.133
Nd -3.353 1.191 -5.657
Te -4.138 2.986 2.072
Te -12.226 -1.208 -3.214
Ge -8.182 0.889 -0.571
Ge 0.727 4.959 1.642
Ge -1.510 4.533 -2.234
Ge -4.306 1.067 -2.840
```

Formation energy without anion corrections (meV/atom): -774
Size of the total moment (μB/f.u.): 0.00
V (Å³/f.u.): 257.09
E above lowest polymorph (meV per atom): 185.8


No. 3
Tm2GaSi2: relaxed, GGA-PBE.

The structure in extended XYZ format:
```
5
Lattice="-2.632 2.944 -0.740 -2.366 1.794 4.642 1.790 4.832 1.950" Properties=species:S:1:pos:R:3 pbc="T T T"
Tm -0.730 2.521 1.719
Tm -2.477 7.049 4.133
Si -0.753 5.407 2.375
Si -2.454 4.164 3.476
Ga 0.000 0.000 0.000
```

Formation energy without anion corrections (meV/atom): -678
Size of the total moment (μB/f.u.): 0.00
V (Å³/f.u.): 98.72


No. 4
Mg2TlAs2: relaxed, GGA-PBE.

The structure in extended XYZ format:
```
5
Lattice="4.602 0.000 0.000 0.000 4.602 0.000 2.301 2.301 5.740" Properties=species:S:1:pos:R:3 pbc="T T T"
As 4.602 4.602 4.313
As 2.301 2.301 1.427
Tl 0.000 0.000 0.000
Mg 2.301 4.602 2.870
Mg 4.602 2.301 2.870
```

Energy of formation from the pure elements (eV/atom): -0.32
Size of the total moment (μB/f.u.): 0.00
V (Å³/f.u.): 121.54
E above lowest polymorph (meV per atom): 0.0


No. 5
FeCuTc4: relaxed, GGA-PBE.

The structure in extended XYZ format:
```
6
Lattice="-0.683 3.137 3.913 -3.636 -0.941 3.393 1.229 -1.487 4.679" Properties=species:S:1:pos:R:3 pbc="T T T"
Tc -0.116 0.912 5.795
Tc -1.930 0.443 7.487
Tc -1.590 -1.122 5.535
Tc -2.543 1.185 5.153
Cu -0.772 0.177 2.996
Fe 0.000 0.000 0.000
```

Energy of formation from the pure elements (eV/atom): 0.56
Size of the total moment (μB/f.u.): 2.96
V (Å³/f.u.): 91.67